1.
A geometry-optimized Na4AgBi3S8 structure. Source: the Alexandria database, functional PBE.

Crystal system   monoclinic
Fermi-level density of states   4.3 states/eV per cell
Formation energy from raw total energies   -606 meV/atom
Symmetry   C2/m (12)
Volume   23.917 Å³/atom

Unit cell a=7.939 b=8.143 c=8.099 alpha=118.36 beta=119.35 gamma=90.00
Sites, in units of the cell vectors:
Na: 0.500 0.000 0.000
S: 0.772 0.710 0.985
Na: 0.000 0.000 0.500
Bi: 0.500 0.500 0.500
Na: 0.000 0.000 0.000
Bi: 0.500 0.500 0.000
S: 0.788 0.290 0.015
Na: 0.500 0.000 0.500
Ag: 0.000 0.500 0.000
S: 0.725 0.235 0.451
S: 0.275 0.765 0.549
S: 0.259 0.261 0.517
Bi: 0.000 0.500 0.500
S: 0.212 0.710 0.985
S: 0.228 0.290 0.015
S: 0.741 0.739 0.483



2.
A geometry-optimized TiVCdSb2 structure. Source: the Alexandria database, functional PBE.

Crystal system   tetragonal
Fermi-level density of states   5.9 states/eV per cell
Formation energy from raw total energies   639 meV/atom
Symmetry   P4/mmm (123)
Volume   24.960 Å³/atom

Unit cell a=5.284 b=4.469 c=5.284 alpha=90.00 beta=90.00 gamma=90.00
Sites, in units of the cell vectors:
Ti: 0.000 0.000 0.000
Sb: 0.000 0.000 0.500
Cd: 0.500 0.500 0.500
Sb: 0.500 0.000 0.000
V: 0.000 0.500 0.000



3.
A geometry-optimized NaSi2Cl8 structure. Source: the Alexandria database, functional PBE.

Crystal system   monoclinic
Fermi-level density of states   5.1 states/eV per cell
Formation energy from raw total energies   -1089 meV/atom
Symmetry   C2/m (12)
Volume   35.112 Å³/atom

Unit cell a=6.518 b=7.920 c=7.920 alpha=75.44 beta=80.09 gamma=80.09
Sites, in units of the cell vectors:
Cl: 0.772 0.051 0.705
Si: 0.687 0.792 0.792
Si: 0.313 0.208 0.208
Cl: 0.646 0.192 0.192
Cl: 0.228 0.949 0.295
Cl: 0.228 0.295 0.949
Cl: 0.354 0.808 0.808
Cl: 0.772 0.705 0.051
Cl: 0.149 0.372 0.372
Cl: 0.851 0.628 0.628
Na: 0.000 0.000 0.000



4.
A geometry-optimized Ca2ZnAg6Sn structure. Source: the Alexandria database, functional PBE.

Crystal system   cubic
Fermi-level density of states   4.8 states/eV per cell
Symmetry   Fm-3m (225)
Volume   25.882 Å³/atom
Energy of formation   0.06 eV per atom

Unit cell a=7.153 b=7.153 c=7.153 alpha=60.00 beta=60.00 gamma=90.00
Sites, in units of the cell vectors:
Ag: 0.740 0.260 0.000
Ag: 0.740 0.740 0.520
Ca: 0.750 0.250 0.500
Ag: 0.260 0.740 0.000
Ca: 0.250 0.750 0.500
Ag: 0.260 0.260 0.480
Sn: 0.000 0.000 0.000
Ag: 0.260 0.260 0.000
Ag: 0.740 0.740 0.000
Zn: 0.500 0.500 0.000



5.
A geometry-optimized Th8GeIr3Se4 structure. Source: the Alexandria database, functional PBE.

Crystal system   trigonal
Fermi-level density of states   13.6 states/eV per cell
Formation energy from raw total energies   -1252 meV/atom
Symmetry   R-3m (166)
Volume   27.207 Å³/atom

Unit cell a=8.375 b=8.645 c=8.375 alpha=118.97 beta=120.00 gamma=90.00
Sites, in units of the cell vectors:
Ge: 0.000 0.500 0.000
Ir: 0.500 0.500 0.000
Se: 0.500 0.000 0.500
Se: 0.000 0.000 0.500
Th: 0.734 0.729 0.981
Th: 0.261 0.282 0.522
Ir: 0.500 0.500 0.500
Th: 0.247 0.728 0.495
Ir: 0.000 0.500 0.500
Se: 0.000 0.000 0.000
Th: 0.753 0.271 0.019
Th: 0.753 0.272 0.505
Th: 0.247 0.729 0.981
Th: 0.266 0.271 0.019
Se: 0.500 0.000 0.000
Th: 0.739 0.718 0.478



6.
A geometry-optimized KLiAu structure. Source: the Alexandria database, functional PBE.

Excess energy over the best structure of this formula in the dataset   0 meV/atom
Crystal system   tetragonal
Fermi-level density of states   3.1 states/eV per cell
Symmetry   P4/nmm (129)
Volume   27.794 Å³/atom
Energy of formation   -0.31 eV per atom

Unit cell a=4.583 b=4.583 c=7.940 alpha=90.00 beta=90.00 gamma=90.00
Sites, in units of the cell vectors:
Li: 0.500 0.500 0.500
Li: 0.000 0.000 0.500
Au: 0.000 0.500 0.321
K: 0.000 0.500 0.845
K: 0.500 0.000 0.155
Au: 0.500 0.000 0.679



no.,uncorrected energy (eV per atom)
1,-3.905
2,-4.596
3,-3.537
4,-2.576
5,-7.783
6,-2.408